Record 1
First-principles (PBE) data for a geometry-optimized Sr2SbIr structure, as listed in the Alexandria database.

```
Sr2SbIr
1.0
-1.791 2.574 6.380
1.791 -2.574 6.380
1.791 2.574 -6.380
Sr Sb Ir
2 1 1
direct
0.000 0.000 0.000 Sr
0.707 0.207 0.500 Sr
0.383 0.383 0.000 Sb
0.227 0.727 0.500 Ir
```

- formation energy (no corrections) (kJ per mole of atoms) = -41.0
- N(E_F) (states/eV/cell) = 1.01

=====

Record 2
First-principles (PBE) data for a geometry-optimized Ca2Zn structure, as listed in the Alexandria database.

```
Ca2Zn
1.0
2.008 -6.670 0.000
2.008 6.670 0.000
0.000 0.000 7.184
Ca Zn
4 2
direct
0.020 0.980 0.500 Ca
0.287 0.713 0.309 Ca
0.713 0.287 0.809 Ca
0.980 0.020 0.000 Ca
0.387 0.613 0.718 Zn
0.613 0.387 0.218 Zn
```

- N(E_F) (states/eV/cell) = 5.70
- energy of formation from the pure elements (eV/atom) = -0.12

=====

Record 3
First-principles (PBE) data for a geometry-optimized Y3Os structure, as listed in the Alexandria database.

```
Y3Os
1.0
6.660 0.000 0.000
-3.330 5.768 0.000
0.000 0.000 10.203
Y Os
12 4
direct
0.000 0.500 0.000 Y
0.000 0.500 0.500 Y
0.155 0.311 0.250 Y
0.155 0.845 0.250 Y
0.311 0.155 0.750 Y
0.500 0.000 0.000 Y
0.500 0.000 0.500 Y
0.500 0.500 0.000 Y
0.500 0.500 0.500 Y
0.689 0.845 0.250 Y
0.845 0.155 0.750 Y
0.845 0.689 0.750 Y
0.000 0.000 0.000 Os
0.000 0.000 0.500 Os
0.333 0.667 0.750 Os
0.667 0.333 0.250 Os
```

- N(E_F) (states/eV/cell) = 20.63
- energy of formation from the pure elements (eV/atom) = 0.14

=====

Record 4
First-principles (PBE) data for a geometry-optimized ZnGeIN2 structure, as listed in the Alexandria database.

```
ZnGeIN2
1.0
3.802 0.000 0.000
0.000 3.802 0.000
0.000 0.000 6.958
Zn Ge I N
1 1 1 2
direct
0.000 0.000 0.000 Zn
0.500 0.500 0.500 Ge
0.500 0.500 0.000 I
0.000 0.500 0.500 N
0.500 0.000 0.500 N
```

- polymorph energy (0 for the lowest one) (kJ per mole of atoms) = 0.0
- formation energy (no corrections) (kJ per mole of atoms) = 106.3
- N(E_F) (states/eV/cell) = 1.94

=====

Record 5
First-principles (PBE) data for a geometry-optimized Tb6Pr3DyEr2 structure, as listed in the Alexandria database.

```
Tb6Pr3DyEr2
1.0
3.111 -5.386 0.000
3.111 5.386 0.000
-2.068 0.000 11.701
Tb Pr Dy Er
6 3 1 2
direct
0.085 0.418 0.755 Tb
0.248 0.248 0.245 Tb
0.418 0.085 0.755 Tb
0.582 0.915 0.245 Tb
0.752 0.752 0.755 Tb
0.915 0.582 0.245 Tb
0.000 0.000 0.500 Pr
0.333 0.667 0.500 Pr
0.667 0.333 0.500 Pr
0.500 0.500 0.000 Dy
0.167 0.833 0.000 Er
0.833 0.167 0.000 Er
```

- N(E_F) (states/eV/cell) = 16.12
- energy of formation from the pure elements (eV/atom) = 0.02

=====

Record 6
First-principles (PBE) data for a geometry-optimized KRbCrGa2 structure, as listed in the Alexandria database.

```
KRbCrGa2
1.0
5.060 0.000 0.000
0.000 5.060 0.000
0.000 0.000 6.045
K Rb Cr Ga
1 1 1 2
direct
0.000 0.000 0.000 K
0.500 0.500 0.000 Rb
0.000 0.000 0.500 Cr
0.000 0.500 0.500 Ga
0.500 0.000 0.500 Ga
```

- N(E_F) (states/eV/cell) = 2.88
- energy of formation from the pure elements (eV/atom) = 0.35

=====

Record 7
First-principles (PBE) data for a geometry-optimized RbBF3 structure, as listed in the Alexandria database.

```
RbBF3
1.0
4.850 0.000 0.000
0.006 5.672 0.000
0.351 2.824 5.718
Rb B F
2 2 6
direct
0.203 0.348 0.302 Rb
0.797 0.652 0.698 Rb
0.433 0.070 0.863 B
0.567 0.930 0.137 B
0.264 0.888 0.816 F
0.266 0.299 0.819 F
0.353 0.833 0.332 F
0.647 0.167 0.668 F
0.734 0.701 0.181 F
0.736 0.112 0.184 F
```

- polymorph energy (0 for the lowest one) (kJ per mole of atoms) = 0.0
- formation energy (no corrections) (kJ per mole of atoms) = -259.9
- N(E_F) (states/eV/cell) = 0.00

=====

Record 8
First-principles (PBE) data for a geometry-optimized TlGa2S structure, as listed in the Alexandria database.

```
TlGa2S
1.0
0.000 3.577 3.577
3.577 0.000 3.577
3.577 3.577 0.000
Tl Ga S
1 2 1
direct
0.000 0.000 0.000 Tl
0.250 0.250 0.250 Ga
0.750 0.750 0.750 Ga
0.500 0.500 0.500 S
```

- polymorph energy (0 for the lowest one) (kJ per mole of atoms) = 25.6
- formation energy (no corrections) (kJ per mole of atoms) = 12.7
- N(E_F) (states/eV/cell) = 2.91

=====

Record 9
First-principles (PBE) data for a geometry-optimized Hf3TiMn structure, as listed in the Alexandria database.

```
Hf3TiMn
1.0
4.773 0.000 0.000
0.000 4.773 0.000
0.000 0.000 4.773
Hf Ti Mn
3 1 1
direct
0.000 0.000 0.500 Hf
0.000 0.500 0.000 Hf
0.500 0.000 0.000 Hf
0.500 0.500 0.500 Ti
0.000 0.000 0.000 Mn
```

- polymorph energy (0 for the lowest one) (kJ per mole of atoms) = 0.0
- N(E_F) (states/eV/cell) = 6.86
- energy of formation from the pure elements (eV/atom) = 0.49

=====

Record 10
First-principles (PBE) data for a geometry-optimized Tb3TmCu4 structure, as listed in the Alexandria database.

```
Tb3TmCu4
1.0
3.464 0.000 0.000
0.000 3.464 0.000
0.000 0.000 13.866
Tb Tm Cu
3 1 4
direct
0.000 0.000 0.000 Tb
0.000 0.000 0.252 Tb
0.000 0.000 0.748 Tb
0.000 0.000 0.500 Tm
0.500 0.500 0.125 Cu
0.500 0.500 0.381 Cu
0.500 0.500 0.619 Cu
0.500 0.500 0.875 Cu
```

- N(E_F) (states/eV/cell) = 4.88
- energy of formation from the pure elements (eV/atom) = -0.25

=====

Record 11
First-principles (PBE) data for a geometry-optimized Zr5InPb3 structure, as listed in the Alexandria database.

```
Zr5InPb3
1.0
8.935 0.000 0.000
-4.468 7.738 0.000
0.000 0.000 6.041
Zr In Pb
10 2 6
direct
0.000 0.279 0.250 Zr
0.000 0.721 0.750 Zr
0.279 0.000 0.250 Zr
0.279 0.279 0.750 Zr
0.333 0.667 0.000 Zr
0.333 0.667 0.500 Zr
0.667 0.333 0.000 Zr
0.667 0.333 0.500 Zr
0.721 0.000 0.750 Zr
0.721 0.721 0.250 Zr
0.000 0.000 0.000 In
0.000 0.000 0.500 In
0.000 0.383 0.750 Pb
0.000 0.617 0.250 Pb
0.383 0.000 0.750 Pb
0.383 0.383 0.250 Pb
0.617 0.000 0.250 Pb
0.617 0.617 0.750 Pb
```

- N(E_F) (states/eV/cell) = 13.47
- energy of formation from the pure elements (eV/atom) = -0.29

=====

Record 12
First-principles (PBE) data for a geometry-optimized LaFe9P4 structure, as listed in the Alexandria database.

```
LaFe9P4
1.0
-3.831 3.831 5.785
3.831 -3.831 5.785
3.831 3.831 -5.785
La Fe P
2 18 8
direct
0.250 0.250 0.000 La
0.750 0.750 0.000 La
0.000 0.500 0.500 Fe
0.046 0.546 0.233 Fe
0.072 0.801 0.873 Fe
0.187 0.954 0.500 Fe
0.199 0.072 0.270 Fe
0.301 0.572 0.873 Fe
0.313 0.813 0.767 Fe
0.428 0.301 0.730 Fe
0.454 0.687 0.500 Fe
0.500 0.000 0.500 Fe
0.546 0.313 0.500 Fe
0.572 0.699 0.270 Fe
0.687 0.187 0.233 Fe
0.699 0.428 0.127 Fe
0.801 0.928 0.730 Fe
0.813 0.046 0.500 Fe
0.928 0.199 0.127 Fe
0.954 0.454 0.767 Fe
0.036 0.209 0.500 P
0.209 0.709 0.173 P
0.291 0.464 0.500 P
0.464 0.964 0.173 P
0.536 0.036 0.827 P
0.709 0.536 0.500 P
0.791 0.291 0.827 P
0.964 0.791 0.500 P
```

- N(E_F) (states/eV/cell) = 22.66
- energy of formation from the pure elements (eV/atom) = -0.45

=====

Record 13
First-principles (PBE) data for a geometry-optimized LiErCu2 structure, as listed in the Alexandria database.

```
LiErCu2
1.0
4.611 0.000 0.000
0.000 4.611 0.000
0.000 0.000 3.323
Li Er Cu
1 1 2
direct
0.000 0.000 0.000 Li
0.500 0.500 0.000 Er
0.000 0.500 0.500 Cu
0.500 0.000 0.500 Cu
```

- N(E_F) (states/eV/cell) = 1.68
- energy of formation from the pure elements (eV/atom) = -0.04

=====

Record 14
First-principles (PBE) data for a geometry-optimized Pm12AgGe7 structure, as listed in the Alexandria database.

```
Pm12AgGe7
1.0
7.430 4.290 3.029
-7.430 4.290 3.029
0.000 -8.580 3.029
Pm Ag Ge
12 1 7
direct
0.092 0.396 0.313 Pm
0.140 0.283 0.664 Pm
0.283 0.664 0.140 Pm
0.313 0.092 0.396 Pm
0.336 0.860 0.717 Pm
0.396 0.313 0.092 Pm
0.604 0.687 0.908 Pm
0.664 0.140 0.283 Pm
0.687 0.908 0.604 Pm
0.717 0.336 0.860 Pm
0.860 0.717 0.336 Pm
0.908 0.604 0.687 Pm
0.000 0.000 0.000 Ag
0.028 0.277 0.934 Ge
0.066 0.972 0.723 Ge
0.277 0.934 0.028 Ge
0.500 0.500 0.500 Ge
0.723 0.066 0.972 Ge
0.934 0.028 0.277 Ge
0.972 0.723 0.066 Ge
```

- N(E_F) (states/eV/cell) = 19.68
- energy of formation from the pure elements (eV/atom) = -0.43

=====

Record 15
First-principles (PBE) data for a geometry-optimized TaN structure, as listed in the Alexandria database.

```
TaN
1.0
1.585 0.915 7.773
-1.585 0.915 7.773
0.000 -1.830 7.773
Ta N
2 2
direct
0.000 0.000 0.000 Ta
0.446 0.446 0.446 Ta
0.298 0.298 0.298 N
0.814 0.814 0.814 N
```

- formation energy (no corrections) (kJ per mole of atoms) = -58.2
- N(E_F) (states/eV/cell) = 2.14

=====

Record 16
First-principles (PBE) data for a geometry-optimized VCo5Ni8 structure, as listed in the Alexandria database.

```
VCo5Ni8
1.0
-3.493 3.493 3.369
3.493 -3.493 3.369
3.493 3.493 -3.369
V Co Ni
1 5 8
direct
0.000 0.000 0.000 V
0.229 0.307 0.720 Co
0.250 0.750 0.500 Co
0.491 0.771 0.079 Co
0.588 0.509 0.280 Co
0.693 0.412 0.921 Co
0.115 0.439 0.069 Ni
0.370 0.047 0.931 Ni
0.430 0.148 0.402 Ni
0.561 0.630 0.677 Ni
0.747 0.028 0.598 Ni
0.852 0.253 0.281 Ni
0.953 0.885 0.323 Ni
0.972 0.570 0.719 Ni
```

- N(E_F) (states/eV/cell) = 15.82
- energy of formation from the pure elements (eV/atom) = 0.23

=====

Record 17
First-principles (PBE) data for a geometry-optimized AcPrGd2 structure, as listed in the Alexandria database.

```
AcPrGd2
1.0
3.745 0.000 0.000
0.000 3.745 0.000
0.000 0.000 10.365
Ac Pr Gd
1 1 2
direct
0.000 0.000 0.000 Ac
0.000 0.000 0.500 Pr
0.500 0.500 0.260 Gd
0.500 0.500 0.740 Gd
```

- polymorph energy (0 for the lowest one) (kJ per mole of atoms) = 0.2
- N(E_F) (states/eV/cell) = 6.13
- energy of formation from the pure elements (eV/atom) = 0.03

=====

Record 18
First-principles (PBE) data for a geometry-optimized Sr2BeW structure, as listed in the Alexandria database.

```
Sr2BeW
1.0
3.399 0.000 0.000
0.000 3.399 0.000
0.000 0.000 9.048
Sr Be W
2 1 1
direct
0.000 0.000 0.000 Sr
0.500 0.500 0.407 Sr
0.500 0.500 0.726 Be
0.000 0.000 0.669 W
```

- N(E_F) (states/eV/cell) = 4.78
- energy of formation from the pure elements (eV/atom) = 0.69

=====

Record 19
First-principles (PBE) data for a geometry-optimized Pr3DyPa2N6 structure, as listed in the Alexandria database.

```
Pr3DyPa2N6
1.0
3.086 -5.348 0.000
3.086 5.348 0.000
-2.055 0.000 5.921
Pr Dy Pa N
3 1 2 6
direct
0.000 0.000 0.000 Pr
0.334 0.666 0.000 Pr
0.666 0.334 0.000 Pr
0.500 0.500 0.500 Dy
0.167 0.833 0.500 Pa
0.833 0.167 0.500 Pa
0.083 0.429 0.288 N
0.224 0.224 0.712 N
0.429 0.083 0.288 N
0.571 0.917 0.712 N
0.776 0.776 0.288 N
0.917 0.571 0.712 N
```

- formation energy (no corrections) (kJ per mole of atoms) = -151.4
- N(E_F) (states/eV/cell) = 5.25

=====

Record 20
First-principles (PBE) data for a geometry-optimized Pm6Sb2N structure, as listed in the Alexandria database.

```
Pm6Sb2N
1.0
3.957 0.000 0.000
0.000 7.218 4.283
0.000 -7.218 4.283
Pm Sb N
6 2 1
direct
0.000 0.000 0.000 Pm
0.000 0.538 0.756 Pm
0.000 0.756 0.538 Pm
0.500 0.166 0.759 Pm
0.500 0.340 0.340 Pm
0.500 0.759 0.166 Pm
0.000 0.087 0.429 Sb
0.000 0.429 0.087 Sb
0.500 0.834 0.834 N
```

- formation energy (no corrections) (kJ per mole of atoms) = -58.3
- N(E_F) (states/eV/cell) = 10.62

=====

Record 21
First-principles (PBE) data for a geometry-optimized AlHO structure, as listed in the Alexandria database.

```
AlHO
1.0
2.866 0.000 0.000
-1.433 2.482 0.000
0.000 0.000 4.866
Al H O
1 1 1
direct
0.000 0.000 0.000 Al
0.667 0.333 0.769 H
0.333 0.667 0.148 O
```

- polymorph energy (0 for the lowest one) (kJ per mole of atoms) = 13.8
- N(E_F) (states/eV/cell) = 0.00

=====

Record 22
First-principles (PBE) data for a geometry-optimized Y3SnO structure, as listed in the Alexandria database.

```
Y3SnO
1.0
8.104 -1.832 0.000
8.104 1.832 0.000
-1.021 0.000 8.993
Y Sn O
6 2 2
direct
0.029 0.029 0.319 Y
0.158 0.158 0.964 Y
0.338 0.338 0.396 Y
0.662 0.662 0.604 Y
0.842 0.842 0.036 Y
0.971 0.971 0.681 Y
0.313 0.313 0.748 Sn
0.687 0.687 0.252 Sn
0.083 0.083 0.559 O
0.917 0.917 0.441 O
```

- formation energy (no corrections) (kJ per mole of atoms) = -134.6
- N(E_F) (states/eV/cell) = 6.71